Compound: Fe2IrCl
Source: Alexandria
Functional: PBE
Structure: relaxed

magnetic moment = 18.1 Bohr magnetons per cell
E_form (uncorrected) = 230 meV/atom
ρ = 10.04 Mg/m³
E = -6.678 eV per atom
polymorph energy (0 for the lowest one) = 101 meV per atom
Fermi-level density of states = 20.7 states/eV per cell

Cell: 2.8556 2.8556 23.8532 Å, 90.00 90.00 120.00°
Closest atoms and distances in Å follow each position.
Space group R-3m (No. 166, hexagonal axes)
Symmetry-distinct sites (fractional):
Fe: 0.0000 0.0000 0.2478 x6  3 Cl 2.54, 3 Ir 2.62
Ir: 0.0000 0.0000 0.0000 x3  6 Fe 2.62, 6 Ir 2.86
Cl: 0.0000 0.0000 0.5000 x3  6 Fe 2.54